Entry 1:
Ag3Ru PBE relaxed; uncorrected energy = -4.10 eV per atom; formation energy = 0.36 eV/atom; magnetization = 0.183 μB per atom
1.0
3.982 -4.309 0.000
3.982 4.309 0.000
0.000 0.000 3.990
Ru Ag
2 6
Direct
0.588 0.588 0.750
0.412 0.412 0.250
0.111 0.631 0.750
0.369 0.889 0.250
0.138 0.138 0.750
0.862 0.862 0.250
0.889 0.369 0.250
0.631 0.111 0.750


Entry 2:
Ag5Ru PBE relaxed; E above lowest polymorph = 290.9 meV per atom; uncorrected energy = -3.34 eV per atom; formation energy = 0.58 eV/atom; magnetization = 0.324 μB per atom
1.0
0.000 3.809 3.809
3.809 0.000 3.809
3.809 3.809 0.000
Ag Ru
5 1
Direct
0.375 0.875 0.375
0.875 0.375 0.375
0.375 0.375 0.875
0.750 0.750 0.750
0.375 0.375 0.375
0.000 0.000 0.000


Entry 3:
Ag3Ru PBE relaxed; uncorrected energy = -4.09 eV per atom; formation energy = 0.37 eV/atom; magnetization = 0.398 μB per atom
1.0
-1.232 2.093 1.388
0.873 -1.093 2.423
7.269 4.630 -0.531
Ag Ru
3 1
Direct
0.500 0.500 0.250
0.000 0.000 0.506
0.000 0.000 0.994
0.500 0.500 0.750


Entry 4:
AgRu4 PBE relaxed; E above lowest polymorph = 0.0 meV per atom; uncorrected energy = -7.58 eV per atom; formation energy = 0.41 eV/atom; magnetization = 0.000 μB per atom
1.0
0.894 -3.972 2.462
1.979 4.326 0.083
-4.285 1.068 1.769
Ru Ag
4 1
Direct
0.194 0.411 0.605
0.589 0.194 0.783
0.411 0.806 0.217
0.806 0.589 0.395
0.000 0.000 0.000